Model A:
VASP calculation (PBE-GGA) on a geometry-optimized DyNpCo2 structure.

## Properties
For the total magnetization, the calculation gives 2.525 μB/f.u.

a = 4.741 Å, b = 4.741 Å, c = 3.200 Å
α = 90.00°, β = 90.00°, γ = 90.00°
Space group P4/mmm (No. 123)
Asymmetric unit:
Dy: 0.000 0.000 0.000
Np: 0.500 0.500 0.000
Co: 0.000 0.500 0.500

Model B:
VASP calculation (PBE-GGA) on a geometry-optimized DyNpCo2 structure.

## Properties
For the total magnetization, the calculation gives 2.214 μB/f.u.

a = 3.6620 Å, b = 3.6620 Å, c = 19.7629 Å
α = 90.00°, β = 90.00°, γ = 120.00°
Space group R-3m (No. 166, hexagonal axes)
Asymmetric unit:
Dy: 0.0000 0.0000 0.0000
Np: 0.0000 0.0000 0.5000
Co: 0.0000 0.0000 0.2388

Which one sits at the top of the stability order? model A does.

Model A:
VASP calculation (PBE-GGA) on a geometry-optimized DyCoOs structure.

## Properties
For the total magnetization, the calculation gives 1.466 μB/f.u.

a = 4.971 Å, b = 7.871 Å, c = 5.285 Å
α = 90.00°, β = 90.00°, γ = 90.00°
Space group Cmcm (No. 63)
Asymmetric unit:
Dy: 0.000 0.154 0.250
Co: 0.000 0.211 0.750
Os: 0.000 0.500 0.000

Model B:
VASP calculation (PBE-GGA) on a geometry-optimized DyCoOs structure.

## Properties
For the total magnetization, the calculation gives 0.951 μB/f.u.

a = 4.0061 Å, b = 4.0061 Å, c = 4.1020 Å
α = 90.00°, β = 90.00°, γ = 120.00°
Space group P-6m2 (No. 187)
Asymmetric unit:
Dy: 0.0000 0.0000 0.0000
Co: 0.3333 0.6667 0.5000
Os: 0.6667 0.3333 0.5000

Model C:
VASP calculation (PBE-GGA) on a geometry-optimized DyCoOs structure.

## Properties
For the total magnetization, the calculation gives 0.671 μB/f.u.

a = 5.113 Å, b = 5.252 Å, c = 7.454 Å
α = 90.00°, β = 90.00°, γ = 90.00°
Space group Imma (No. 74)
Asymmetric unit:
Dy: 0.000 0.250 0.123
Co: 0.000 0.000 0.500
Os: 0.250 0.250 0.750

Which one sits at the top of the stability order? model C does.

Model A:
VASP calculation (PBE-GGA) on a geometry-optimized DyPaCo structure.

## Properties
For the total magnetization, the calculation gives 0.000 μB/f.u.

a = 6.856 Å, b = 5.927 Å, c = 6.764 Å
α = 90.00°, β = 105.60°, γ = 90.00°
Space group P2_1/c (No. 14)
Asymmetric unit:
Dy: 0.149 0.143 0.360
Pa: 0.407 0.650 0.311
Co: 0.172 0.632 0.513

Model B:
VASP calculation (PBE-GGA) on a geometry-optimized DyPaCo structure.

## Properties
For the total magnetization, the calculation gives 0.000 μB/f.u.

a = 3.424 Å, b = 3.424 Å, c = 11.104 Å
α = 90.00°, β = 90.00°, γ = 90.00°
Space group I4mm (No. 107)
Asymmetric unit:
Dy: 0.000 0.000 0.000
Pa: 0.000 0.000 0.292
Co: 0.000 0.000 0.699

Which one sits at the top of the stability order? model A does.